# 1
Density functional theory data (PBE) for crystalline Sm6Sc2Cd at its relaxed geometry.

Output
Calculated total energy, eV per atom: -4.651
D(E_F), states/eV/f.u.: 15.8
SG: P4_2/mnm

Unit cell a=10.243 b=10.243 c=5.230 alpha=90.00 beta=90.00 gamma=90.00
Atoms (fractional coordinates):
Sm (0.028, 0.323, 0.000)
Sm (0.134, 0.866, 0.500)
Sm (0.177, 0.528, 0.500)
Sm (0.323, 0.028, 0.000)
Sm (0.366, 0.366, 0.000)
Sm (0.472, 0.823, 0.500)
Sm (0.528, 0.177, 0.500)
Sm (0.634, 0.634, 0.000)
Sm (0.677, 0.972, 0.000)
Sm (0.823, 0.472, 0.500)
Sm (0.866, 0.134, 0.500)
Sm (0.972, 0.677, 0.000)
Sc (0.201, 0.201, 0.500)
Sc (0.299, 0.701, 0.000)
Sc (0.701, 0.299, 0.000)
Sc (0.799, 0.799, 0.500)
Cd (0.000, 0.000, 0.000)
Cd (0.500, 0.500, 0.500)

# 2
Density functional theory data (PBE) for crystalline Mg5Cd2Ag4 at its relaxed geometry.

Output
Calculated total energy, eV per atom: -2.012
D(E_F), states/eV/f.u.: 3.1
SG: P-1

Unit cell a=5.460 b=5.722 c=7.794 alpha=83.64 beta=76.90 gamma=81.63
Atoms (fractional coordinates):
Mg (0.000, 0.000, 0.000)
Mg (0.217, 0.647, 0.497)
Mg (0.452, 0.290, 0.921)
Mg (0.548, 0.710, 0.079)
Mg (0.783, 0.353, 0.503)
Cd (0.288, 0.123, 0.624)
Cd (0.712, 0.877, 0.376)
Ag (0.059, 0.540, 0.167)
Ag (0.226, 0.072, 0.274)
Ag (0.774, 0.928, 0.726)
Ag (0.941, 0.460, 0.833)

# 3
Density functional theory data (PBE) for crystalline Co2S3 at its relaxed geometry.

Output
Calculated total energy, eV per atom: -5.704
D(E_F), states/eV/f.u.: 3.7
SG: I4_1/amd

Unit cell a=14.724 b=14.724 c=14.724 alpha=154.12 beta=154.12 gamma=36.92
Atoms (fractional coordinates):
Co (0.000, 0.000, 0.000)
Co (0.000, 0.000, 0.500)
Co (0.000, 0.500, 0.000)
Co (0.165, 0.667, 0.498)
Co (0.208, 0.458, 0.750)
Co (0.330, 0.333, 0.998)
Co (0.333, 0.330, 0.498)
Co (0.333, 0.835, 0.002)
Co (0.458, 0.208, 0.250)
Co (0.500, 0.000, 0.500)
Co (0.542, 0.792, 0.750)
Co (0.667, 0.165, 0.998)
Co (0.667, 0.670, 0.502)
Co (0.670, 0.667, 0.002)
Co (0.792, 0.542, 0.250)
Co (0.835, 0.333, 0.502)
S (0.079, 0.104, 0.524)
S (0.079, 0.555, 0.976)
S (0.101, 0.586, 0.515)
S (0.104, 0.079, 0.024)
S (0.235, 0.748, 0.487)
S (0.238, 0.252, 0.987)
S (0.252, 0.238, 0.487)
S (0.252, 0.765, 0.013)
S (0.414, 0.428, 0.515)
S (0.414, 0.899, 0.985)
S (0.428, 0.414, 0.015)
S (0.445, 0.921, 0.524)
S (0.555, 0.079, 0.476)
S (0.572, 0.586, 0.985)
S (0.586, 0.101, 0.015)
S (0.586, 0.572, 0.485)
S (0.748, 0.235, 0.987)
S (0.748, 0.762, 0.513)
S (0.762, 0.748, 0.013)
S (0.765, 0.252, 0.513)
S (0.896, 0.921, 0.976)
S (0.899, 0.414, 0.485)
S (0.921, 0.445, 0.024)
S (0.921, 0.896, 0.476)

# 4
Density functional theory data (PBE) for crystalline NdTlTeSe at its relaxed geometry.

Output
Calculated total energy, eV per atom: -4.646
SG: R3m

Unit cell a=8.553 b=8.553 c=8.553 alpha=30.00 beta=30.00 gamma=30.00
Atoms (fractional coordinates):
Nd (0.000, 0.000, 0.000)
Tl (0.174, 0.174, 0.174)
Te (0.413, 0.413, 0.413)
Se (0.606, 0.606, 0.606)

# 5
Density functional theory data (PBE) for crystalline SrZr6O12 at its relaxed geometry.

Output
Calculated total energy, eV per atom: -8.789
D(E_F), states/eV/f.u.: 1.9
SG: R-3m

Unit cell a=6.537 b=6.537 c=6.537 alpha=104.74 beta=104.74 gamma=104.74
Atoms (fractional coordinates):
Sr (0.000, 0.000, 0.000)
Zr (0.238, 0.238, 0.633)
Zr (0.238, 0.633, 0.238)
Zr (0.367, 0.762, 0.762)
Zr (0.633, 0.238, 0.238)
Zr (0.762, 0.367, 0.762)
Zr (0.762, 0.762, 0.367)
O (0.127, 0.500, 0.873)
O (0.127, 0.873, 0.500)
O (0.185, 0.454, 0.454)
O (0.454, 0.185, 0.454)
O (0.454, 0.454, 0.185)
O (0.500, 0.127, 0.873)
O (0.500, 0.873, 0.127)
O (0.546, 0.546, 0.815)
O (0.546, 0.815, 0.546)
O (0.815, 0.546, 0.546)
O (0.873, 0.127, 0.500)
O (0.873, 0.500, 0.127)

# 6
Density functional theory data (PBE) for crystalline P2SNCl at its relaxed geometry.

Output
Polymorph energy (0 for the lowest one), eV/atom: 0.0122
D(E_F), states/eV/f.u.: 4.0
SG: P4/mmm

Unit cell a=4.282 b=4.282 c=4.099 alpha=90.00 beta=90.00 gamma=90.00
Atoms (fractional coordinates):
P (0.000, 0.500, 0.000)
P (0.500, 0.000, 0.000)
S (0.000, 0.000, 0.500)
N (0.500, 0.500, 0.000)
Cl (0.500, 0.500, 0.500)

# 7
Density functional theory data (PBE) for crystalline CuTe3 at its relaxed geometry.

Output
Calculated total energy, eV per atom: -3.221
D(E_F), states/eV/f.u.: 2.8
SG: Pmm2

Unit cell a=3.106 b=3.877 c=8.767 alpha=90.00 beta=90.00 gamma=90.00
Atoms (fractional coordinates):
Cu (0.000, 0.000, 0.000)
Te (0.000, 0.500, 0.199)
Te (0.500, 0.000, 0.534)
Te (0.500, 0.500, 0.821)

# 8
Density functional theory data (PBE) for crystalline LiAlCr2 at its relaxed geometry.

Output
Calculated total energy, eV per atom: -5.948
D(E_F), states/eV/f.u.: 2.5
SG: R3m

Unit cell a=9.162 b=9.162 c=9.162 alpha=16.34 beta=16.34 gamma=16.34
Atoms (fractional coordinates):
Li (0.000, 0.000, 0.000)
Al (0.243, 0.243, 0.243)
Cr (0.497, 0.497, 0.497)
Cr (0.752, 0.752, 0.752)